Crystalline NiAgBiMo at its relaxed geometry, computed with GGA-PBE.

Cell lengths 4.6186, 4.6186, 4.6186 Å; angles 60.00, 60.00, 60.00 degrees
Fractional positions:
Ni 0.7500 0.7500 0.7500
Mo 0.2500 0.2500 0.2500
Ag 0.5000 0.5000 0.5000
Bi 0.0000 0.0000 0.0000

Computed properties:
total energy = -20.92 eV for the cell shown
density = 11.24 Mg/m³